[1]
Material: BaAuSe2S
Method: DFT, GGA-PBE
State: relaxed

The space group is P4/mmm (No. 123) and the conventional cell measures 5.3168, 5.3168 and 4.7051 Å, with angles of 90.00, 90.00 and 90.00 degrees. The asymmetric unit holds Ba at (0.0000, 0.0000, 0.0000), Au at (0.5000, 0.5000, 0.0000), Se at (0.0000, 0.5000, 0.5000) and S at (0.5000, 0.5000, 0.5000).

The total magnetization is 0.00 Bohr magnetons per cell. The calculation puts the formation energy without anion corrections at -0.545 eV per atom. The value obtained for the calculated volume is 133 Å³/f.u. For the raw total energy, the calculation gives -19.02 eV per cell. The value obtained for the density of states at the Fermi level is 1.49 states/eV/f.u.

***

[2]
Material: BaTe2Au2S6
Method: DFT, GGA-PBE
State: relaxed

The space group is P-1 (No. 2) and the conventional cell measures 7.6125, 7.6577 and 8.2047 Å, with angles of 109.02, 94.60 and 118.38 degrees. The asymmetric unit holds Ba at (0.0000, 0.0000, 0.0000), Te at (0.3533, 0.6653, 0.0399), Au at (0.2472, 0.8768, 0.4998), S at (0.1169, 0.7543, 0.1959), S at (0.3350, 0.9623, 0.8020) and S at (0.4059, 0.4836, 0.2019).

The total magnetization is 0.00 Bohr magnetons per cell. The calculation puts the formation energy without anion corrections at -0.373 eV per atom. The value obtained for the calculated volume is 382 Å³/f.u. For the raw total energy, the calculation gives -43.63 eV per cell. The value obtained for the density of states at the Fermi level is 0.00 states/eV/f.u.

***

[3]
Material: BaTiAu2S
Method: DFT, GGA-PBE
State: relaxed

The space group is P4/mmm (No. 123) and the conventional cell measures 4.9335, 4.9335 and 5.7134 Å, with angles of 90.00, 90.00 and 90.00 degrees. The asymmetric unit holds Ba at (0.0000, 0.0000, 0.0000), Ti at (0.5000, 0.5000, 0.0000), Au at (0.0000, 0.5000, 0.5000) and S at (0.0000, 0.0000, 0.5000).

The total magnetization is 0.11 Bohr magnetons per cell. The calculation puts the formation energy without anion corrections at 0.443 eV per atom. The value obtained for the calculated volume is 139 Å³/f.u. For the raw total energy, the calculation gives -18.28 eV per cell. The value obtained for the density of states at the Fermi level is 8.84 states/eV/f.u.

***

[4]
Material: BaTlAuS2
Method: DFT, GGA-PBE
State: relaxed

The space group is P4/mmm (No. 123) and the conventional cell measures 5.7008, 5.7008 and 12.0296 Å, with angles of 90.00, 90.00 and 90.00 degrees. The asymmetric unit holds Ba at (0.0000, 0.0000, 0.0000), Tl at (0.0000, 0.0000, 0.5000), Au at (0.5000, 0.5000, 0.5000) and S at (0.0000, 0.5000, 0.0000).

The total magnetization is 1.93 Bohr magnetons per cell. The calculation puts the formation energy without anion corrections at 0.353 eV per atom. The value obtained for the calculated volume is 391 Å³/f.u. For the raw total energy, the calculation gives -14.06 eV per cell. The value obtained for the density of states at the Fermi level is 4.34 states/eV/f.u.

***

[5]
Material: BaTlAuS2
Method: DFT, GGA-PBE
State: relaxed

The space group is P2/c (No. 13) and the conventional cell measures 6.9156, 5.9287 and 8.7221 Å, with angles of 90.00, 102.93 and 90.00 degrees. The asymmetric unit holds Ba at (0.0000, 0.0079, 0.2500), Tl at (0.5000, 0.4100, 0.7500), Au at (0.0000, 0.5000, 0.0000) and S at (0.2579, 0.2390, 0.0414).

The total magnetization is 0.00 Bohr magnetons per cell. The calculation puts the formation energy without anion corrections at -0.918 eV per atom. The value obtained for the calculated volume is 174 Å³/f.u. For the raw total energy, the calculation gives -40.83 eV per cell. The value obtained for the density of states at the Fermi level is 0.00 states/eV/f.u.

***

[6]
Material: Ba2UAuS5
Method: DFT, GGA-PBE
State: relaxed

The space group is Cmc2_1 (No. 36) and the conventional cell measures 4.1496, 18.2380 and 12.8187 Å, with angles of 90.00, 90.00 and 90.00 degrees. The asymmetric unit holds Ba at (0.0000, 0.1123, 0.0000), Ba at (0.0000, 0.1193, 0.6268), U at (0.0000, 0.2023, 0.3238), Au at (0.0000, 0.4386, 0.7414), S at (0.0000, 0.0641, 0.3533), S at (0.0000, 0.2908, 0.9600), S at (0.0000, 0.2967, 0.6860), S at (0.0000, 0.3441, 0.3164) and S at (0.0000, 0.4987, 0.0742).

The total magnetization is 3.99 Bohr magnetons per cell. The calculation puts the formation energy without anion corrections at -1.449 eV per atom. The value obtained for the calculated volume is 243 Å³/f.u. For the raw total energy, the calculation gives -208.36 eV per cell. The value obtained for the density of states at the Fermi level is 5.57 states/eV/f.u.

***

[7]
Material: BaWAu2S
Method: DFT, GGA-PBE
State: relaxed

The space group is P4/mmm (No. 123) and the conventional cell measures 5.2981, 5.2981 and 4.6025 Å, with angles of 90.00, 90.00 and 90.00 degrees. The asymmetric unit holds Ba at (0.0000, 0.0000, 0.0000), W at (0.5000, 0.5000, 0.5000), Au at (0.0000, 0.5000, 0.5000) and S at (0.5000, 0.5000, 0.0000).

The total magnetization is 0.00 Bohr magnetons per cell. The calculation puts the formation energy without anion corrections at -0.272 eV per atom. The value obtained for the calculated volume is 129 Å³/f.u. For the raw total energy, the calculation gives -26.92 eV per cell. The value obtained for the density of states at the Fermi level is 4.77 states/eV/f.u.

***

[8]
Material: Ba3ZrAu2S6
Method: DFT, GGA-PBE
State: relaxed

The space group is P-3m1 (No. 164) and the conventional cell measures 7.4472, 7.4472 and 7.8144 Å, with angles of 90.00, 90.00 and 120.00 degrees. The asymmetric unit holds Ba at (0.0000, 0.0000, 0.0000), Ba at (0.3333, 0.6667, 0.6191), Zr at (0.0000, 0.0000, 0.5000), Au at (0.3333, 0.6667, 0.1882) and S at (0.1584, 0.3167, 0.3031).

The total magnetization is 0.00 Bohr magnetons per cell. The calculation puts the formation energy without anion corrections at -1.174 eV per atom. The value obtained for the calculated volume is 375 Å³/f.u. For the raw total energy, the calculation gives -59.72 eV per cell. The value obtained for the density of states at the Fermi level is 0.12 states/eV/f.u.

***

[9]
Material: BaZrAuS2
Method: DFT, GGA-PBE
State: relaxed

The space group is P4/mmm (No. 123) and the conventional cell measures 5.0465, 5.0465 and 5.3723 Å, with angles of 90.00, 90.00 and 90.00 degrees. The asymmetric unit holds Ba at (0.0000, 0.0000, 0.0000), Zr at (0.5000, 0.5000, 0.5000), Au at (0.5000, 0.5000, 0.0000) and S at (0.0000, 0.5000, 0.5000).

The total magnetization is 0.00 Bohr magnetons per cell. The calculation puts the formation energy without anion corrections at -1.264 eV per atom. The value obtained for the calculated volume is 137 Å³/f.u. For the raw total energy, the calculation gives -28.32 eV per cell. The value obtained for the density of states at the Fermi level is 1.47 states/eV/f.u.

***

[10]
Material: Ba2ZrAuS5
Method: DFT, GGA-PBE
State: relaxed

The space group is Cmc2_1 (No. 36) and the conventional cell measures 3.9162, 19.0779 and 12.6252 Å, with angles of 90.00, 90.00 and 90.00 degrees. The asymmetric unit holds Ba at (0.0000, 0.1226, 0.0000), Ba at (0.0000, 0.1244, 0.6075), Zr at (0.0000, 0.2173, 0.3064), Au at (0.0000, 0.4554, 0.7409), S at (0.0000, 0.0773, 0.3426), S at (0.0000, 0.2891, 0.9436), S at (0.0000, 0.2913, 0.6675), S at (0.0000, 0.3478, 0.3066) and S at (0.0000, 0.4991, 0.5666).

The total magnetization is 0.00 Bohr magnetons per cell. The calculation puts the formation energy without anion corrections at -1.413 eV per atom. The value obtained for the calculated volume is 236 Å³/f.u. For the raw total energy, the calculation gives -196.10 eV per cell. The value obtained for the density of states at the Fermi level is 2.34 states/eV/f.u.

***

[11]
Material: BaSb8Au6
Method: DFT, GGA-PBE
State: relaxed

The space group is R-3 (No. 148, hexagonal axes) and the conventional cell measures 8.2056, 8.2056 and 21.8784 Å, with angles of 90.00, 90.00 and 120.00 degrees. The asymmetric unit holds Ba at (0.0000, 0.0000, 0.0000), Sb at (0.0000, 0.0000, 0.3602), Sb at (0.0215, 0.7247, 0.7726) and Au at (0.0293, 0.7340, 0.5661).

The total magnetization is 0.00 Bohr magnetons per cell. The calculation puts the formation energy without anion corrections at -0.131 eV per atom. The value obtained for the calculated volume is 425 Å³/f.u. For the raw total energy, the calculation gives -169.61 eV per cell. The value obtained for the density of states at the Fermi level is 6.11 states/eV/f.u.

***

[12]
Material: BaSbAu3
Method: DFT, GGA-PBE
State: relaxed

The space group is Pm-3m (No. 221) and the conventional cell measures 5.9619, 5.9619 and 5.9619 Å, with angles of 90.00, 90.00 and 90.00 degrees. The asymmetric unit holds Ba at (0.0000, 0.0000, 0.0000), Sb at (0.5000, 0.5000, 0.5000) and Au at (0.0000, 0.0000, 0.5000).

The total magnetization is 1.76 Bohr magnetons per cell. The calculation puts the formation energy without anion corrections at 0.814 eV per atom. The value obtained for the calculated volume is 212 Å³/f.u. For the raw total energy, the calculation gives -11.81 eV per cell. The value obtained for the density of states at the Fermi level is 3.14 states/eV/f.u.